# CdSnP2O (PBE, relaxed)
# Spin magnetization in μB per formula unit: 0.00
# Formation energy from raw total energies in eV per formula unit: 1.74
data_CdSnP2O
_chemical_formula_sum 'Cd1 Sn1 P2 O1'
_cell_length_a 5.231
_cell_length_b 5.231
_cell_length_c 3.890
_cell_angle_alpha 90.00
_cell_angle_beta 90.00
_cell_angle_gamma 90.00
_space_group_name_H-M_alt 'P 1'
_space_group_IT_number 1
_space_group_name_Hall 'P 1'
loop_
_atom_site_label
_atom_site_fract_x
_atom_site_fract_y
_atom_site_fract_z
Cd1 0.000 0.000 0.000
Sn1 0.500 0.500 0.500
P1 0.000 0.500 0.500
P2 0.500 0.000 0.500
O1 0.500 0.500 0.000